YTm2Sc (PBE, relaxed); volume = 118.3 Å³/cell; formation energy = 13.7 kJ per mole of atoms
1.0
5.510 0.000 0.000
2.755 4.772 0.000
2.755 1.591 4.499
Y Tm Sc
1 2 1
Direct
0.000 0.000 0.000
0.750 0.750 0.750
0.250 0.250 0.250
0.500 0.500 0.500